Record 1
ScTeCl2 | GGA-PBEsol | relaxed

Calculated values
* total moment: 0.000 μB/atom
* ΔE_f (raw): -1.474 eV per atom

a = 6.512 Å, b = 6.512 Å, c = 6.639 Å
α = 117.64°, β = 117.64°, γ = 28.50°
Fractional positions:
Sc: 0.000 0.000 0.000
Te: 0.311 0.311 0.627
Cl: 0.484 0.484 0.265
Cl: 0.645 0.645 0.991

=====

Record 2
LiCrCu | GGA-PBEsol | relaxed

Calculated values
* total moment: 1.479 μB/atom
* offset from the most stable computed form: 646 meV per atom
* calculated formation energy: 96 kJ per mole of atoms

a = 4.147 Å, b = 4.147 Å, c = 4.147 Å
α = 60.00°, β = 60.00°, γ = 60.00°
Fractional positions:
Li: 0.000 0.000 0.000
Cr: 0.250 0.250 0.250
Cu: 0.500 0.500 0.500

=====

Record 3
KSi2Cl | GGA-PBEsol | relaxed

Calculated values
* total moment: 0.000 μB/atom
* offset from the most stable computed form: 275 meV per atom
* ΔE_f (raw): -0.100 eV per atom

a = 3.789 Å, b = 3.789 Å, c = 7.273 Å
α = 90.00°, β = 90.00°, γ = 90.00°
Fractional positions:
K: 0.000 0.000 0.000
Si: 0.000 0.500 0.500
Si: 0.500 0.000 0.500
Cl: 0.500 0.500 0.000

=====

Record 4
La3Co4Ge4 | GGA-PBEsol | relaxed

Calculated values
* total moment: 0.000 μB/atom
* calculated formation energy: -57 kJ per mole of atoms

a = 12.421 Å, b = 12.421 Å, c = 12.421 Å
α = 161.11°, β = 161.09°, γ = 26.85°
Fractional positions:
La: 0.000 0.000 0.000
La: 0.352 0.852 0.500
La: 0.648 0.148 0.500
Co: 0.101 0.601 0.500
Co: 0.249 0.249 0.000
Co: 0.751 0.751 0.000
Co: 0.899 0.399 0.500
Ge: 0.200 0.700 0.500
Ge: 0.448 0.448 0.000
Ge: 0.552 0.552 0.000
Ge: 0.800 0.300 0.500

=====

Record 5
NdCuGe2 | GGA-PBEsol | relaxed

Calculated values
* total moment: 0.000 μB/atom
* calculated formation energy: -62 kJ per mole of atoms

a = 8.820 Å, b = 8.820 Å, c = 4.166 Å
α = 90.00°, β = 90.00°, γ = 152.52°
Fractional positions:
Nd: 0.104 0.896 0.750
Nd: 0.896 0.104 0.250
Cu: 0.325 0.675 0.750
Cu: 0.675 0.325 0.250
Ge: 0.249 0.751 0.250
Ge: 0.461 0.539 0.750
Ge: 0.539 0.461 0.250
Ge: 0.751 0.249 0.750

=====

Record 6
AgHg2 | GGA-PBEsol | relaxed

Calculated values
* total moment: 0.000 μB/atom
* offset from the most stable computed form: 0 meV per atom
* calculated formation energy: 3 kJ per mole of atoms

a = 5.387 Å, b = 4.704 Å, c = 9.381 Å
α = 90.00°, β = 90.00°, γ = 90.00°
Fractional positions:
Ag: 0.198 0.250 0.169
Ag: 0.302 0.750 0.669
Ag: 0.698 0.250 0.331
Ag: 0.802 0.750 0.831
Hg: 0.126 0.250 0.827
Hg: 0.173 0.250 0.484
Hg: 0.327 0.750 0.984
Hg: 0.374 0.750 0.327
Hg: 0.626 0.250 0.673
Hg: 0.673 0.250 0.016
Hg: 0.827 0.750 0.516
Hg: 0.874 0.750 0.173

=====

Record 7
Eu2CoPtO6 | GGA-PBEsol | relaxed

Calculated values
* total moment: 0.897 μB/atom
* ΔE_f (raw): -1.841 eV per atom

a = 5.366 Å, b = 5.668 Å, c = 9.357 Å
α = 90.00°, β = 124.97°, γ = 90.00°
Fractional positions:
Eu: 0.232 0.066 0.250
Eu: 0.232 0.434 0.750
Eu: 0.768 0.566 0.250
Eu: 0.768 0.934 0.750
Co: 0.500 0.000 0.000
Co: 0.500 0.500 0.500
Pt: 0.000 0.000 0.500
Pt: 0.000 0.500 0.000
O: 0.147 0.199 0.952
O: 0.147 0.301 0.452
O: 0.258 0.701 0.951
O: 0.258 0.799 0.451
O: 0.350 0.027 0.754
O: 0.350 0.473 0.254
O: 0.650 0.527 0.746
O: 0.650 0.973 0.246
O: 0.742 0.201 0.549
O: 0.742 0.299 0.049
O: 0.853 0.699 0.548
O: 0.853 0.801 0.048

=====

Record 8
Al2Ag | GGA-PBEsol | relaxed

Calculated values
* total moment: 0.000 μB/atom
* calculated formation energy: 3 kJ per mole of atoms

a = 4.676 Å, b = 4.674 Å, c = 3.592 Å
α = 67.43°, β = 67.37°, γ = 45.19°
Fractional positions:
Al: 0.166 0.166 0.834
Al: 0.834 0.834 0.166
Ag: 0.500 0.500 0.500

=====

- Which formula does entry 2 have?
  LiCrCu

=====

- Look up the total moment of the sixth one.
  0.000 μB/atom

=====

What did the fifth record say?
NdCuGe2 | GGA-PBEsol | relaxed

Calculated values
* total moment: 0.000 μB/atom
* calculated formation energy: -62 kJ per mole of atoms

a = 8.820 Å, b = 8.820 Å, c = 4.166 Å
α = 90.00°, β = 90.00°, γ = 152.52°
Fractional positions:
Nd: 0.104 0.896 0.750
Nd: 0.896 0.104 0.250
Cu: 0.325 0.675 0.750
Cu: 0.675 0.325 0.250
Ge: 0.249 0.751 0.250
Ge: 0.461 0.539 0.750
Ge: 0.539 0.461 0.250
Ge: 0.751 0.249 0.750

=====

- Which value of total moment does entry 6 give?
  0.000 μB/atom